(1)
CdPd2Pt8, relaxed, DFT PBE; E_tot = -5.4293 eV per atom; DOS at the Fermi energy = 15.28 states/eV/f.u.; size of the total moment = 0.00 μB per cell; DFT formation energy = -0.009 eV/atom
1.0
-0.824 -5.503 -0.139
1.610 5.245 4.869
-5.493 4.770 5.177
Pd Pt Cd
2 8 1
Direct
0.427 0.298 0.319
0.570 0.670 0.677
0.664 0.776 0.332
0.346 0.724 0.995
0.059 0.674 0.666
0.794 0.165 0.665
0.180 0.778 0.335
0.618 0.222 0.005
0.305 0.166 0.678
0.918 0.283 0.328
0.118 0.211 0.000

***

(2)
CdPd5Pt, relaxed, DFT PBE; E_tot = -4.7245 eV per atom; DOS at the Fermi energy = 6.66 states/eV/f.u.; size of the total moment = 0.00 μB per cell; DFT formation energy = -0.022 eV/atom
1.0
-3.407 -3.199 -0.342
2.844 -2.762 -2.499
1.787 -2.405 4.692
Pd Cd Pt
5 1 1
Direct
0.000 0.500 0.240
0.000 0.500 0.760
0.500 0.500 0.500
0.500 0.000 0.760
0.500 0.000 0.240
0.000 0.000 0.500
0.500 0.500 0.000

***

(3)
CdPd3Pt, relaxed, DFT PBE; E_tot = -4.6977 eV per atom; DOS at the Fermi energy = 7.13 states/eV/f.u.; size of the total moment = 0.00 μB per cell; DFT formation energy = -0.191 eV/atom
1.0
8.756 1.571 1.236
3.402 6.703 0.123
3.402 1.695 6.487
Cd Pd Pt
4 12 4
Direct
0.156 0.526 0.265
0.844 0.474 0.735
0.656 0.265 0.526
0.344 0.735 0.474
0.547 0.427 0.179
0.454 0.078 0.326
0.853 0.976 0.221
0.954 0.326 0.078
0.353 0.221 0.976
0.953 0.821 0.573
0.647 0.779 0.024
0.046 0.674 0.922
0.546 0.922 0.674
0.047 0.179 0.427
0.147 0.024 0.779
0.453 0.573 0.821
0.750 0.119 0.881
0.250 0.369 0.631
0.750 0.631 0.369
0.250 0.881 0.119

***

(4)
CdPd3Pt, relaxed, DFT PBE; E_tot = -4.5359 eV per atom; DOS at the Fermi energy = 5.32 states/eV/f.u.; size of the total moment = 0.00 μB per cell; DFT formation energy = -0.029 eV/atom
1.0
7.216 0.000 0.000
0.000 6.520 0.000
0.000 0.000 7.303
Cd Pd Pt
4 12 4
Direct
0.250 0.663 0.313
0.250 0.163 0.187
0.750 0.837 0.813
0.750 0.337 0.687
0.750 0.712 0.431
0.250 0.288 0.569
0.551 0.873 0.150
0.051 0.627 0.650
0.449 0.627 0.650
0.449 0.127 0.850
0.949 0.373 0.350
0.051 0.127 0.850
0.551 0.373 0.350
0.750 0.212 0.069
0.949 0.873 0.150
0.250 0.788 0.931
0.000 0.500 0.000
0.500 0.500 0.000
0.000 0.000 0.500
0.500 0.000 0.500

***

Please write out number 1 again, unchanged.
CdPd2Pt8, relaxed, DFT PBE; E_tot = -5.4293 eV per atom; DOS at the Fermi energy = 15.28 states/eV/f.u.; size of the total moment = 0.00 μB per cell; DFT formation energy = -0.009 eV/atom
1.0
-0.824 -5.503 -0.139
1.610 5.245 4.869
-5.493 4.770 5.177
Pd Pt Cd
2 8 1
Direct
0.427 0.298 0.319
0.570 0.670 0.677
0.664 0.776 0.332
0.346 0.724 0.995
0.059 0.674 0.666
0.794 0.165 0.665
0.180 0.778 0.335
0.618 0.222 0.005
0.305 0.166 0.678
0.918 0.283 0.328
0.118 0.211 0.000

***

> Which of these has the highest DOS at the Fermi energy?

CdPd2Pt8